#i
# AlAs2WBr

A relaxed AlAs2WBr crystal (GGA-PBE, the Alexandria database).

Properties
V: 26.044 Å³ per atom
Size of the total moment: 0.524 μB per formula unit

a = 4.8531 Å, b = 4.8531 Å, c = 5.5289 Å
α = 90.00°, β = 90.00°, γ = 90.00°
Positions (direct):
Al 0.0000 0.0000 0.0000
As 0.0000 0.5000 0.5000
As 0.5000 0.0000 0.5000
W 0.5000 0.5000 0.5000
Br 0.5000 0.5000 0.0000

=====

#ii
# AlAs2WBr

A relaxed AlAs2WBr crystal (GGA-PBE, the Alexandria database).

Properties
V: 22.660 Å³ per atom
Size of the total moment: 2.982 μB per formula unit

a = 4.8236 Å, b = 4.8236 Å, c = 4.8696 Å
α = 90.00°, β = 90.00°, γ = 90.00°
Positions (direct):
Al 0.0000 0.0000 0.0000
As 0.0000 0.5000 0.0000
As 0.5000 0.0000 0.0000
W 0.5000 0.5000 0.5000
Br 0.0000 0.0000 0.5000

=====

How do the energies compare? Relative to the most stable structure, in kJ/mol of atoms: #i 0.0; #ii 66.4.

=====

#i
# AlAsWBr2

A relaxed AlAsWBr2 crystal (GGA-PBE, the Alexandria database).

Properties
V: 24.726 Å³ per atom
Size of the total moment: 3.763 μB per formula unit

a = 4.8412 Å, b = 4.8412 Å, c = 5.2751 Å
α = 90.00°, β = 90.00°, γ = 90.00°
Positions (direct):
Al 0.0000 0.0000 0.0000
As 0.0000 0.0000 0.5000
W 0.5000 0.5000 0.5000
Br 0.0000 0.5000 0.0000
Br 0.5000 0.0000 0.0000

=====

#ii
# AlAsWBr2

A relaxed AlAsWBr2 crystal (GGA-PBE, the Alexandria database).

Properties
V: 27.836 Å³ per atom
Size of the total moment: 1.716 μB per formula unit

a = 5.3429 Å, b = 5.3429 Å, c = 4.8754 Å
α = 90.00°, β = 90.00°, γ = 90.00°
Positions (direct):
Al 0.0000 0.0000 0.0000
As 0.5000 0.5000 0.0000
W 0.5000 0.5000 0.5000
Br 0.0000 0.5000 0.5000
Br 0.5000 0.0000 0.5000

=====

How do the energies compare? Relative to the most stable structure, in kJ/mol of atoms: #i 50.0; #ii 0.0.

=====

#i
# YAlAs2Br

A relaxed YAlAs2Br crystal (GGA-PBE, the Alexandria database).

Properties
V: 24.143 Å³ per atom
Size of the total moment: 0.000 μB per formula unit

a = 4.8746 Å, b = 4.8746 Å, c = 5.0803 Å
α = 90.00°, β = 90.00°, γ = 90.00°
Positions (direct):
Y 0.0000 0.0000 0.0000
Al 0.5000 0.5000 0.5000
As 0.0000 0.5000 0.5000
As 0.5000 0.0000 0.5000
Br 0.5000 0.5000 0.0000

=====

#ii
# YAlAs2Br

A relaxed YAlAs2Br crystal (GGA-PBE, the Alexandria database).

Properties
V: 33.564 Å³ per atom
Size of the total moment: 0.601 μB per formula unit

a = 5.4971 Å, b = 5.4971 Å, c = 5.5536 Å
α = 90.00°, β = 90.00°, γ = 90.00°
Positions (direct):
Y 0.0000 0.0000 0.0000
Al 0.5000 0.5000 0.5000
As 0.0000 0.5000 0.0000
As 0.5000 0.0000 0.0000
Br 0.0000 0.0000 0.5000

=====

How do the energies compare? Relative to the most stable structure, in kJ/mol of atoms: #i 0.0; #ii 34.7.

=====

#i
# AlAs2C

A relaxed AlAs2C crystal (GGA-PBE, the Alexandria database).

Properties
V: 17.369 Å³ per atom
Size of the total moment: 0.000 μB per formula unit

a = 5.9583 Å, b = 5.9583 Å, c = 5.9583 Å
α = 124.18°, β = 124.18°, γ = 82.90°
Positions (direct):
Al 0.0000 0.0000 0.0000
Al 0.7500 0.2500 0.5000
As 0.1874 0.6250 0.0624
As 0.3750 0.4374 0.5624
As 0.5626 0.1250 0.9376
As 0.8750 0.8126 0.4376
C 0.2500 0.7500 0.5000
C 0.5000 0.5000 0.0000

=====

#ii
# AlAs2C

A relaxed AlAs2C crystal (GGA-PBE, the Alexandria database).

Properties
V: 15.263 Å³ per atom
Size of the total moment: 0.000 μB per formula unit

a = 4.4198 Å, b = 4.4198 Å, c = 4.4198 Å
α = 60.00°, β = 60.00°, γ = 60.00°
Positions (direct):
Al 0.0000 0.0000 0.0000
As 0.2500 0.2500 0.2500
As 0.7500 0.7500 0.7500
C 0.5000 0.5000 0.5000

=====

How do the energies compare? Relative to the most stable structure, in kJ/mol of atoms: #i 0.0; #ii 71.4.

=====

#i
# AlAsCSe2

A relaxed AlAsCSe2 crystal (GGA-PBE, the Alexandria database).

Properties
V: 22.678 Å³ per atom
Size of the total moment: 0.793 μB per formula unit

a = 4.8281 Å, b = 4.8281 Å, c = 4.8645 Å
α = 90.00°, β = 90.00°, γ = 90.00°
Positions (direct):
Al 0.0000 0.0000 0.0000
As 0.0000 0.0000 0.5000
C 0.5000 0.5000 0.5000
Se 0.0000 0.5000 0.0000
Se 0.5000 0.0000 0.0000

=====

#ii
# AlAsCSe2

A relaxed AlAsCSe2 crystal (GGA-PBE, the Alexandria database).

Properties
V: 17.241 Å³ per atom
Size of the total moment: 0.000 μB per formula unit

a = 4.3819 Å, b = 4.3819 Å, c = 4.4897 Å
α = 90.00°, β = 90.00°, γ = 90.00°
Positions (direct):
Al 0.0000 0.0000 0.0000
As 0.5000 0.5000 0.0000
C 0.5000 0.5000 0.5000
Se 0.0000 0.5000 0.5000
Se 0.5000 0.0000 0.5000

=====

How do the energies compare? Relative to the most stable structure, in kJ/mol of atoms: #i 58.5; #ii 0.0.

=====

#i
# CaAlAsSe2

A relaxed CaAlAsSe2 crystal (GGA-PBE, the Alexandria database).

Properties
V: 24.565 Å³ per atom
Size of the total moment: 0.000 μB per formula unit

a = 5.0918 Å, b = 5.0918 Å, c = 4.7375 Å
α = 90.00°, β = 90.00°, γ = 90.00°
Positions (direct):
Ca 0.0000 0.0000 0.0000
Al 0.5000 0.5000 0.5000
As 0.5000 0.5000 0.0000
Se 0.0000 0.5000 0.5000
Se 0.5000 0.0000 0.5000

=====

#ii
# CaAlAsSe2

A relaxed CaAlAsSe2 crystal (GGA-PBE, the Alexandria database).

Properties
V: 32.329 Å³ per atom
Size of the total moment: 0.388 μB per formula unit

a = 5.4425 Å, b = 5.4425 Å, c = 5.4571 Å
α = 90.00°, β = 90.00°, γ = 90.00°
Positions (direct):
Ca 0.0000 0.0000 0.0000
Al 0.5000 0.5000 0.5000
As 0.0000 0.0000 0.5000
Se 0.0000 0.5000 0.0000
Se 0.5000 0.0000 0.0000

=====

How do the energies compare? Relative to the most stable structure, in kJ/mol of atoms: #i 0.0; #ii 82.9.

=====

#i
# CaAlAs2Se

A relaxed CaAlAs2Se crystal (GGA-PBE, the Alexandria database).

Properties
V: 24.308 Å³ per atom
Size of the total moment: 0.000 μB per formula unit

a = 4.8484 Å, b = 4.8484 Å, c = 5.1704 Å
α = 90.00°, β = 90.00°, γ = 90.00°
Positions (direct):
Ca 0.0000 0.0000 0.0000
Al 0.5000 0.5000 0.5000
As 0.0000 0.5000 0.5000
As 0.5000 0.0000 0.5000
Se 0.5000 0.5000 0.0000

=====

#ii
# CaAlAs2Se

A relaxed CaAlAs2Se crystal (GGA-PBE, the Alexandria database).

Properties
V: 31.496 Å³ per atom
Size of the total moment: 0.278 μB per formula unit

a = 5.4243 Å, b = 5.4243 Å, c = 5.3523 Å
α = 90.00°, β = 90.00°, γ = 90.00°
Positions (direct):
Ca 0.0000 0.0000 0.0000
Al 0.5000 0.5000 0.5000
As 0.0000 0.5000 0.0000
As 0.5000 0.0000 0.0000
Se 0.0000 0.0000 0.5000

=====

How do the energies compare? Relative to the most stable structure, in kJ/mol of atoms: #i 0.0; #ii 84.4.